No. 1
Density functional theory data (GGA-PBE) for a geometry-optimized CsNbP2O structure.

Lattice parameters (Å, degrees): 5.2933 5.2933 4.1056 90.00 90.00 90.00
With the nearest neighbours (Å) after each atom.
Sites, in units of the cell vectors:
Cs 0.0000 0.0000 0.0000  2 O 2.05
Nb 0.5000 0.5000 0.5000  8 P 3.35, 4 O 3.74
P 0.0000 0.5000 0.0000  2 Cs 2.65
P 0.5000 0.0000 0.0000  2 Cs 2.65
O 0.0000 0.0000 0.5000  2 Cs 2.05

Results
* calculated volume: 23.0 Å³/atom
* DOS at the Fermi energy: 2.433 states/eV per cell
* total DFT energy (no corrections): -18.136 eV for the cell shown
* uncorrected formation energy: 1713 meV/atom

=====

No. 2
Density functional theory data (GGA-PBE) for a geometry-optimized Cs2PaNb3O12 structure.

Lattice parameters (Å, degrees): 7.7807 7.7807 7.7807 58.68 58.68 58.68
With the nearest neighbours (Å) after each atom.
Sites, in units of the cell vectors:
Cs 0.1176 0.1176 0.1176  9 O 3.40-3.77
Cs 0.8824 0.8824 0.8824  9 O 3.40-3.77
Pa 0.5000 0.5000 0.5000  6 O 2.16
Nb 0.0000 0.5000 0.5000  6 O 2.00-2.02
Nb 0.5000 0.0000 0.5000  6 O 2.00-2.02
Nb 0.5000 0.5000 0.0000  6 O 2.00-2.02
O 0.1686 0.5690 0.5690  1 Nb 2.02, 1 Pa 2.16
O 0.1946 0.1946 0.5648  2 Nb 2.00
O 0.1946 0.5648 0.1946  2 Nb 2.00
O 0.4310 0.4310 0.8314  1 Nb 2.02, 1 Pa 2.16
O 0.4310 0.8314 0.4310  1 Nb 2.02, 1 Pa 2.16
O 0.4352 0.8054 0.8054  2 Nb 2.00
O 0.5648 0.1946 0.1946  2 Nb 2.00
O 0.5690 0.1686 0.5690  1 Nb 2.02, 1 Pa 2.16
O 0.5690 0.5690 0.1686  1 Nb 2.02, 1 Pa 2.16
O 0.8054 0.4352 0.8054  2 Nb 2.00
O 0.8054 0.8054 0.4352  2 Nb 2.00
O 0.8314 0.4310 0.4310  1 Nb 2.02, 1 Pa 2.16

Results
* calculated volume: 17.9 Å³/atom
* DOS at the Fermi energy: 14.558 states/eV per cell
* total DFT energy (no corrections): -145.264 eV for the cell shown
* uncorrected formation energy: -2464 meV/atom